Here is a geometry-optimized BaLu3Fe structure from Alexandria. Energies are from PBE-GGA.

POSCAR file:
```
BaLu3Fe
1.0
5.315 0.000 0.000
0.000 5.315 0.000
0.000 0.000 5.315
Ba Lu Fe
1 3 1
Cartesian
0.000 0.000 0.000
0.000 2.657 2.657
2.657 0.000 2.657
2.657 2.657 0.000
2.657 2.657 2.657
```

Total energy = -23.5 eV/cell
ΔH_f (0 K) = 9 kJ per mole of atoms
Magnetic moment = 0.0000 μB per atom
D(E_F) = 1.0315 states/eV/atom